(1)
14
Lattice="4.724 0.000 0.000 2.362 8.430 0.436 2.362 2.336 8.112" Properties=species:S:1:pos:R:3 comment="Pr3Cd2Ag9 (PBE-GGA, optimized geometry)" e_tot_ev_per_atom=-3.19 magnetic_moment_mub_per_fu=0.00 formation_energy_ev_per_atom=-0.199 pbc="T T T"
Pr 0.000 0.000 0.000
Pr 4.724 3.152 2.503
Pr 4.724 7.614 6.045
Cd 4.724 4.250 5.700
Cd 4.724 6.515 2.848
Ag 2.362 5.383 4.274
Ag 7.085 9.850 6.080
Ag 2.362 0.916 2.468
Ag 7.085 8.155 8.215
Ag 2.362 2.611 0.333
Ag 7.085 8.141 3.767
Ag 2.362 2.625 4.781
Ag 7.085 5.514 7.075
Ag 2.362 5.252 1.473



(2)
13
Lattice="-2.486 1.911 -4.691 2.402 -3.717 -6.180 -6.426 -3.765 -1.521" Properties=species:S:1:pos:R:3 comment="PrCd8Ag4 (PBE-GGA, optimized geometry)" e_tot_ev_per_atom=-1.96 magnetic_moment_mub_per_fu=0.00 formation_energy_ev_per_atom=-0.150 pbc="T T T"
Pr 0.000 0.000 0.000
Cd -3.374 -3.748 -3.132
Cd -0.650 -3.733 -4.569
Cd -3.492 -4.234 -6.661
Cd -3.018 -1.337 -5.732
Cd -0.723 -2.772 -7.533
Cd -5.788 -2.799 -4.860
Cd -1.571 -1.046 -2.987
Cd -4.940 -4.525 -9.405
Ag -3.213 -1.882 -0.761
Ag -4.456 -0.927 -3.106
Ag 1.201 -1.858 -3.090
Ag -0.042 -0.903 -5.436



(3)
11
Lattice="5.895 0.000 0.000 2.947 4.793 0.000 2.947 0.000 9.328" Properties=species:S:1:pos:R:3 comment="Pr2Cd5Ag4 (PBE-GGA, optimized geometry)" e_tot_ev_per_atom=-2.51 de_polymorph_ev_per_atom=0.034 magnetic_moment_mub_per_fu=0.00 formation_energy_ev_per_atom=-0.184 pbc="T T T"
Pr 5.895 0.000 2.306
Pr 2.947 0.000 7.021
Cd 2.947 0.000 0.000
Cd 1.474 2.396 0.000
Cd 4.421 2.396 0.000
Cd 4.421 2.396 4.664
Cd 7.368 2.396 4.664
Ag 5.895 1.489 6.883
Ag 5.895 3.304 2.445
Ag 2.947 1.489 2.445
Ag 8.842 3.304 6.883



(4)
6
Lattice="-2.654 -2.532 -3.326 1.670 -2.482 4.243 -5.239 0.494 3.809" Properties=species:S:1:pos:R:3 comment="PrCd4Ag (PBE-GGA, optimized geometry)" e_tot_ev_per_atom=-2.09 de_polymorph_ev_per_atom=0.004 magnetic_moment_mub_per_fu=0.00 formation_energy_ev_per_atom=-0.206 pbc="T T T"
Pr -1.787 -1.003 4.004
Cd -1.542 -3.868 2.303
Cd -4.683 -0.671 2.376
Cd -4.413 -3.104 4.013
Cd -1.815 -1.434 0.667
Ag -4.407 -0.757 5.909



(5)
11
Lattice="-2.830 5.033 0.277 -2.997 1.277 6.502 4.046 5.452 2.606" Properties=species:S:1:pos:R:3 comment="Pr2Cd5Ag4 (PBE-GGA, optimized geometry)" e_tot_ev_per_atom=-2.54 de_polymorph_ev_per_atom=0.000 magnetic_moment_mub_per_fu=0.00 formation_energy_ev_per_atom=-0.218 pbc="T T T"
Pr -0.053 6.247 6.601
Pr -1.729 5.515 2.784
Cd 2.008 5.919 3.412
Cd -3.789 5.843 5.973
Cd 0.524 3.365 4.554
Cd 0.591 8.440 3.550
Cd -2.372 3.323 5.835
Ag 0.728 3.633 1.748
Ag -2.509 8.129 7.637
Ag -0.199 9.499 6.359
Ag -1.583 2.264 3.026



(6)
9
Lattice="5.976 -0.028 -0.016 0.031 6.292 0.008 0.031 3.141 5.451" Properties=species:S:1:pos:R:3 comment="Pr2CdAg6 (PBE-GGA, optimized geometry)" e_tot_ev_per_atom=-3.24 magnetic_moment_mub_per_fu=0.00 formation_energy_ev_per_atom=-0.177 pbc="T T T"
Pr 5.076 6.265 3.625
Pr 0.962 3.140 1.817
Cd 0.000 0.000 0.000
Ag 2.019 4.858 4.453
Ag 2.033 7.698 4.455
Ag 2.019 6.281 1.994
Ag 4.019 4.547 0.990
Ag 4.005 1.707 0.988
Ag 4.019 3.124 3.449



(7)
11
Lattice="-2.215 2.179 -4.321 4.271 -4.379 -4.397 -6.815 -5.522 3.986" Properties=species:S:1:pos:R:3 comment="Pr8CdAg2 (PBE-GGA, optimized geometry)" e_tot_ev_per_atom=-4.19 de_polymorph_ev_per_atom=0.011 magnetic_moment_mub_per_fu=0.00 formation_energy_ev_per_atom=-0.108 pbc="T T T"
Pr -4.197 -5.978 -0.863
Pr 0.322 -4.680 -5.803
Pr -3.035 -4.688 -4.086
Pr -7.560 -4.118 -1.480
Pr -1.723 -3.034 -0.647
Pr -5.081 -3.042 1.070
Pr -0.561 -1.744 -3.870
Pr 2.802 -3.604 -3.253
Cd -1.107 1.090 -2.161
Ag -4.829 -3.011 -2.322
Ag 0.070 -4.710 -2.411



(8)
5
Lattice="-5.984 -0.461 -5.812 -5.435 -4.160 -4.791 -6.113 -0.767 0.503" Properties=species:S:1:pos:R:3 comment="Pr2Cd2Ag (PBE-GGA, optimized geometry)" e_tot_ev_per_atom=-2.97 de_polymorph_ev_per_atom=0.143 magnetic_moment_mub_per_fu=0.00 formation_energy_ev_per_atom=-0.118 pbc="T T T"
Pr -13.075 -3.866 -6.981
Pr -4.457 -1.522 -3.119
Cd -7.633 -2.298 -4.224
Cd -9.899 -3.090 -5.876
Ag 0.000 0.000 0.000



(9)
11
Lattice="-2.474 3.007 1.784 -3.463 -2.408 -0.744 4.618 -6.717 12.581" Properties=species:S:1:pos:R:3 comment="Pr3Cd2Ag6 (PBE-GGA, optimized geometry)" e_tot_ev_per_atom=-3.17 magnetic_moment_mub_per_fu=0.00 formation_energy_ev_per_atom=-0.144 pbc="T T T"
Pr 0.000 0.000 0.000
Pr -1.993 -3.500 8.276
Pr 0.673 -2.618 5.346
Cd 1.486 -5.782 11.804
Cd -2.805 -0.336 1.818
Ag -1.360 -2.653 2.585
Ag -0.865 0.055 3.849
Ag 0.040 -3.466 11.037
Ag -0.455 -6.173 9.773
Ag -2.374 -2.017 5.250
Ag 1.054 -4.101 8.372



(10)
12
Lattice="5.286 0.002 -1.123 -0.003 7.508 -0.001 -1.013 0.000 8.504" Properties=species:S:1:pos:R:3 comment="Pr6CdAg5 (PBE-GGA, optimized geometry)" e_tot_ev_per_atom=-3.91 magnetic_moment_mub_per_fu=0.00 formation_energy_ev_per_atom=-0.256 pbc="T T T"
Pr 3.724 5.621 4.691
Pr 3.726 1.891 4.691
Pr 1.630 1.929 7.942
Pr 2.641 5.582 -0.562
Pr 0.544 5.620 2.689
Pr 0.546 1.890 2.689
Ag 3.174 3.756 2.079
Ag 1.113 7.509 5.382
Ag -0.002 3.754 0.000
Ag 3.157 0.002 1.998
Ag 1.096 3.755 5.301
Cd 0.000 0.000 0.000



(11)
10
Lattice="-0.429 -3.621 -1.065 3.208 0.215 -2.023 9.979 -5.656 15.217" Properties=species:S:1:pos:R:3 comment="Pr5CdAg4 (PBE-GGA, optimized geometry)" e_tot_ev_per_atom=-3.88 magnetic_moment_mub_per_fu=0.36 formation_energy_ev_per_atom=-0.260 pbc="T T T"
Pr 2.431 -2.293 0.043
Pr 4.400 -3.409 3.047
Pr 6.379 -4.531 6.064
Pr 8.357 -5.652 9.082
Pr 10.327 -6.769 12.085
Cd 0.000 0.000 0.000
Ag 2.027 -1.149 3.090
Ag 4.006 -2.270 6.108
Ag 5.973 -3.386 9.109
Ag 7.952 -4.507 12.126



(12)
16
Lattice="4.865 0.000 0.000 -2.432 5.727 0.000 0.000 0.000 15.020" Properties=species:S:1:pos:R:3 comment="Pr3Cd2Ag3 (PBE-GGA, optimized geometry)" e_tot_ev_per_atom=-3.35 de_polymorph_ev_per_atom=0.000 magnetic_moment_mub_per_fu=0.00 formation_energy_ev_per_atom=-0.259 pbc="T T T"
Pr 2.432 4.814 5.894
Pr 0.000 0.913 13.404
Pr 2.432 4.814 1.616
Pr 0.000 0.913 9.126
Pr 2.432 1.625 3.755
Pr 0.000 4.102 11.265
Cd 2.432 3.296 13.550
Cd 0.000 2.431 6.040
Cd 2.432 3.296 8.980
Cd 0.000 2.431 1.470
Ag 2.432 1.231 6.866
Ag 0.000 4.496 14.375
Ag 2.432 1.231 0.644
Ag 0.000 4.496 8.154
Ag 0.000 4.155 3.755
Ag 2.432 1.572 11.265



(13)
6
Lattice="3.805 -0.001 0.000 0.001 3.805 0.000 0.000 0.000 12.862" Properties=species:S:1:pos:R:3 comment="Pr4CdAg (PBE-GGA, optimized geometry)" e_tot_ev_per_atom=-3.98 de_polymorph_ev_per_atom=0.000 magnetic_moment_mub_per_fu=1.21 formation_energy_ev_per_atom=-0.170 pbc="T T T"
Pr 1.903 1.902 10.849
Pr 1.903 1.902 2.013
Pr 3.806 3.804 8.297
Pr 0.000 0.000 4.565
Cd 0.000 0.000 0.000
Ag 1.903 1.902 6.431



(14)
18
Lattice="-5.644 -5.626 -3.108 3.092 0.578 -6.661 3.841 -6.764 5.270" Properties=species:S:1:pos:R:3 comment="Pr5Cd2Ag2 (PBE-GGA, optimized geometry)" e_tot_ev_per_atom=-3.65 magnetic_moment_mub_per_fu=0.00 formation_energy_ev_per_atom=-0.161 pbc="T T T"
Pr 0.000 0.000 0.000
Pr -1.276 -2.524 -4.885
Pr -1.014 -5.951 -6.536
Pr 1.404 -2.633 -2.174
Pr 2.233 -3.058 -5.899
Pr -1.844 -5.525 -2.811
Pr 2.303 -5.862 2.037
Pr -0.114 -9.179 -2.326
Pr -0.944 -8.754 1.399
Pr 3.133 -6.287 -1.688
Cd 2.372 -2.851 0.854
Cd 1.096 -5.375 -4.031
Cd 4.561 -3.335 -2.245
Cd 0.193 -6.437 -0.469
Ag -0.813 -3.037 -7.882
Ag -1.738 -2.011 -1.888
Ag 1.150 -0.384 -4.479
Ag -3.702 -4.664 -5.290



(15)
10
Lattice="3.786 0.000 0.000 0.000 3.786 0.000 0.000 0.000 19.073" Properties=species:S:1:pos:R:3 comment="Pr4Cd5Ag (PBE-GGA, optimized geometry)" e_tot_ev_per_atom=-2.91 de_polymorph_ev_per_atom=0.022 magnetic_moment_mub_per_fu=0.07 formation_energy_ev_per_atom=-0.254 pbc="T T T"
Pr 0.000 0.000 3.533
Pr 0.000 0.000 7.517
Pr 0.000 0.000 11.555
Pr 0.000 0.000 15.540
Cd 1.893 1.893 1.509
Cd 1.893 1.893 5.541
Cd 1.893 1.893 9.536
Cd 1.893 1.893 13.531
Cd 1.893 1.893 17.564
Ag 0.000 0.000 0.000



(16)
14
Lattice="4.753 0.000 1.277 1.759 8.241 2.938 0.154 0.451 8.911" Properties=species:S:1:pos:R:3 comment="Pr3Cd9Ag2 (PBE-GGA, optimized geometry)" e_tot_ev_per_atom=-2.27 magnetic_moment_mub_per_fu=0.00 formation_energy_ev_per_atom=-0.254 pbc="T T T"
Pr 0.000 0.000 0.000
Pr 3.920 2.548 4.376
Pr 2.745 6.144 8.749
Cd 0.956 4.346 5.925
Cd 4.943 8.464 10.053
Cd 1.722 0.228 3.073
Cd 4.495 6.288 11.721
Cd 2.170 2.404 1.405
Cd 5.662 7.235 7.377
Cd 1.004 1.457 5.748
Cd 4.968 3.869 9.958
Cd 1.697 4.823 3.167
Ag 3.070 3.070 7.541
Ag 3.596 5.622 5.584



(17)
30
Lattice="-3.309 4.027 3.734 1.366 -3.618 5.113 15.222 9.829 2.888" Properties=species:S:1:pos:R:3 comment="Pr2Cd12Ag (PBE-GGA, optimized geometry)" e_tot_ev_per_atom=-1.67 magnetic_moment_mub_per_fu=0.00 formation_energy_ev_per_atom=-0.108 pbc="T T T"
Pr 2.161 4.477 2.591
Pr 4.498 0.654 3.280
Pr 12.090 5.557 4.721
Pr 9.753 9.379 4.031
Cd 11.355 8.164 6.762
Cd 12.326 7.959 2.339
Cd 12.377 9.241 9.260
Cd 14.032 7.227 7.394
Cd 5.165 3.335 0.980
Cd 1.585 -0.811 5.031
Cd 6.352 7.740 6.475
Cd 4.194 3.539 5.403
Cd 13.349 9.035 4.837
Cd -0.069 1.202 6.898
Cd 7.773 6.344 3.737
Cd 4.591 6.320 4.570
Cd 10.057 6.494 1.908
Cd 6.478 3.690 3.575
Cd 0.901 0.999 2.475
Cd 4.710 5.197 7.763
Cd 7.599 5.245 8.395
Cd 2.896 1.870 0.550
Cd 9.020 3.848 5.657
Cd 9.086 6.699 6.332
Cd 11.695 11.049 6.703
Cd 1.925 2.074 4.973
Cd 6.597 2.567 6.768
Cd -0.753 3.011 4.343
Ag -1.654 2.013 1.867
Ag 0.683 -1.809 2.557



(18)
11
Lattice="-1.064 -2.056 -3.791 2.847 -6.906 2.946 -7.815 2.837 3.258" Properties=species:S:1:pos:R:3 comment="Pr3Cd4Ag4 (PBE-GGA, optimized geometry)" e_tot_ev_per_atom=-2.92 de_polymorph_ev_per_atom=0.012 magnetic_moment_mub_per_fu=0.00 formation_energy_ev_per_atom=-0.246 pbc="T T T"
Pr -1.709 -0.406 0.700
Pr -4.323 -5.719 1.713
Pr 1.423 -3.453 1.473
Cd -5.109 0.260 1.293
Cd -2.030 -3.702 -0.025
Cd -0.924 -6.385 1.120
Cd -4.003 -2.424 2.438
Ag -1.652 -4.183 2.732
Ag -4.381 -1.942 -0.319
Ag 1.795 -6.675 0.514
Ag -0.013 -2.287 -1.358



(19)
8
Lattice="4.663 0.000 1.427 2.113 4.157 1.427 -0.352 -0.216 9.481" Properties=species:S:1:pos:R:3 comment="PrCd6Ag (PBE-GGA, optimized geometry)" e_tot_ev_per_atom=-1.79 magnetic_moment_mub_per_fu=0.00 formation_energy_ev_per_atom=-0.154 pbc="T T T"
Pr 3.212 1.970 6.168
Cd 4.245 2.604 2.792
Cd 0.488 0.299 6.737
Cd 5.936 3.642 5.599
Cd 2.178 1.336 9.544
Cd 1.583 0.971 3.159
Cd 4.841 2.970 9.177
Ag 0.000 0.000 0.000



(20)
7
Lattice="4.804 0.000 0.000 0.000 4.804 0.000 0.000 0.000 7.584" Properties=species:S:1:pos:R:3 comment="PrCd5Ag (PBE-GGA, optimized geometry)" e_tot_ev_per_atom=-1.92 magnetic_moment_mub_per_fu=0.00 formation_energy_ev_per_atom=-0.180 pbc="T T T"
Pr 0.000 0.000 0.000
Cd 2.402 0.000 5.361
Cd 0.000 2.402 5.361
Cd 2.402 2.402 0.000
Cd 0.000 2.402 2.223
Cd 2.402 0.000 2.223
Ag 0.000 0.000 3.792